The following is a PBE calculation of a relaxed TbGdGe crystal, from OQMD via LeMat-Bulk.

Results
Total moment = 0.69 μB per formula unit

abc: 5.179 5.179 6.433
angles: 90.00 90.00 120.00
Fractional coordinates of all 6 atoms:
Tb 0.333 0.667 0.000
Tb 0.667 0.333 0.500
Gd 0.000 0.000 0.249
Gd 0.000 0.000 0.749
Ge 0.333 0.667 0.502
Ge 0.667 0.333 0.002

***

The following is a PBE calculation of a relaxed NaHf2ScO6 crystal, from OQMD via LeMat-Bulk.

Results
Total moment = 0.00 μB per formula unit

abc: 7.071 7.071 6.062
angles: 105.00 105.00 68.95
Fractional coordinates of all 20 atoms:
Na 0.168 0.832 0.750
Na 0.832 0.168 0.250
Hf 0.152 0.339 0.814
Hf 0.339 0.152 0.314
Hf 0.661 0.848 0.686
Hf 0.848 0.661 0.186
Sc 0.423 0.577 0.250
Sc 0.577 0.423 0.750
O 0.111 0.207 0.478
O 0.149 0.496 0.206
O 0.207 0.111 0.978
O 0.308 0.540 0.885
O 0.460 0.692 0.615
O 0.496 0.149 0.706
O 0.504 0.851 0.294
O 0.540 0.308 0.385
O 0.692 0.460 0.115
O 0.793 0.889 0.022
O 0.851 0.504 0.794
O 0.889 0.793 0.522

***

The following is a PBE calculation of a relaxed Ga3TcSe crystal, from OQMD via LeMat-Bulk.

Results
Total moment = 3.20 μB per formula unit

abc: 4.927 4.927 4.927
angles: 90.00 90.00 90.00
Fractional coordinates of all 5 atoms:
Ga 0.000 0.000 0.500
Ga 0.000 0.500 0.000
Ga 0.500 0.000 0.000
Tc 0.500 0.500 0.500
Se 0.000 0.000 0.000

***

The following is a PBE calculation of a relaxed GdCuBi2 crystal, from OQMD via LeMat-Bulk.

Results
Total moment = 0.00 μB per formula unit

abc: 4.561 4.561 9.700
angles: 90.00 90.00 90.00
Fractional coordinates of all 8 atoms:
Gd 0.250 0.250 0.234
Gd 0.750 0.750 0.766
Cu 0.250 0.750 0.000
Cu 0.750 0.250 0.000
Bi 0.250 0.250 0.834
Bi 0.250 0.750 0.500
Bi 0.750 0.250 0.500
Bi 0.750 0.750 0.166

***

The following is a PBE calculation of a relaxed NaMoPtAu crystal, from OQMD via LeMat-Bulk.

Results
Total moment = 0.02 μB per formula unit

abc: 4.584 4.584 4.584
angles: 60.00 60.00 60.00
Fractional coordinates of all 4 atoms:
Na 0.000 0.000 0.000
Mo 0.500 0.500 0.500
Pt 0.250 0.250 0.250
Au 0.750 0.750 0.750

***

The following is a PBE calculation of a relaxed PuZn crystal, from OQMD via LeMat-Bulk.

Results
Total moment = 0.20 μB per formula unit
Energy of formation from the pure elements = 20 kJ/mol of formula units

abc: 2.823 4.253 5.366
angles: 90.00 90.00 90.00
Fractional coordinates of all 4 atoms:
Pu 0.250 0.250 0.001
Pu 0.750 0.750 0.999
Zn 0.250 0.750 0.497
Zn 0.750 0.250 0.503

***

The following is a PBE calculation of a relaxed Li2SnHg crystal, from OQMD via LeMat-Bulk.

abc: 4.794 4.794 4.794
angles: 60.00 60.00 60.00
Fractional coordinates of all 4 atoms:
Li 0.000 0.000 0.000
Li 0.250 0.250 0.250
Sn 0.500 0.500 0.500
Hg 0.750 0.750 0.750

***

The following is a PBE calculation of a relaxed NbRe2Sn crystal, from OQMD via LeMat-Bulk.

Results
Total moment = 0.00 μB per formula unit

abc: 4.574 4.574 4.574
angles: 60.00 60.00 60.00
Fractional coordinates of all 4 atoms:
Nb 0.000 0.000 0.000
Re 0.250 0.250 0.250
Re 0.500 0.500 0.500
Sn 0.750 0.750 0.750

***

Number 1: DFT total energy -5.1660 eV/atom. Number 2: DFT total energy -8.9093 eV/atom. Number 3: DFT total energy -3.4669 eV/atom. Number 4: DFT total energy -4.5584 eV/atom. Number 5: DFT total energy -5.0870 eV/atom. Number 6: DFT total energy -7.5940 eV/atom. Number 7: DFT total energy -2.3498 eV/atom. Number 8: DFT total energy -9.3424 eV/atom.